Entry 1:
A relaxed structure of La4HoEr2Tm. Source: Alexandria via LeMat-Bulk, functional PBE.

Summary:
**DFT formation energy**: 0.02 eV/atom
**Electronic total energy**: -37.701 eV/cell
**SG**: Pmmm, No. 47

Cell: 5.2306 5.2510 9.8046 Å, 90.00 90.00 90.00°
Last column: nearest neighbours and their distance in Å.
Element x y z (fractional)
La: 0.0000 0.0000 0.2492  2 Tm 3.58, 4 Er 3.59, 2 Ho 3.60, 4 La 3.71
La: 0.0000 0.0000 0.7508  2 Tm 3.58, 4 Er 3.59, 2 Ho 3.60, 4 La 3.71
La: 0.5000 0.5000 0.2494  4 Er 3.58-3.60, 2 Tm 3.59, 2 Ho 3.59, 4 La 3.71
La: 0.5000 0.5000 0.7506  4 Er 3.58-3.60, 2 Tm 3.59, 2 Ho 3.59, 4 La 3.71
Ho: 0.0000 0.5000 0.5000  8 La 3.59-3.60, 4 Er 3.71
Er: 0.0000 0.5000 0.0000  8 La 3.58-3.59, 4 Tm 3.71
Er: 0.5000 0.0000 0.5000  8 La 3.59-3.60, 4 Ho 3.71
Tm: 0.5000 0.0000 0.0000  8 La 3.58-3.59, 4 Er 3.71

---

Entry 2:
A relaxed structure of CaTiTlCl6. Source: Alexandria via LeMat-Bulk, functional PBE.

Summary:
**Uncorrected formation energy**: -1.730 eV per atom
**Electronic total energy**: -77.823 eV/cell
**SG**: P-31c, No. 163

Cell: 6.8424 6.8424 13.8494 Å, 90.00 90.00 120.00°
Last column: nearest neighbours and their distance in Å.
Element x y z (fractional)
Ca: 0.3333 0.6667 0.2500  6 Cl 2.75
Ca: 0.6667 0.3333 0.7500  6 Cl 2.75
Ti: 0.3333 0.6667 0.7500  6 Cl 2.45
Ti: 0.6667 0.3333 0.2500  6 Cl 2.45
Tl: 0.0000 0.0000 0.0000  6 Cl 3.25
Tl: 0.0000 0.0000 0.5000  6 Cl 3.25
Cl: 0.0335 0.3862 0.6469  1 Ti 2.45
Cl: 0.0335 0.6473 0.8531  1 Ti 2.45
Cl: 0.3527 0.3862 0.8531  1 Ti 2.45
Cl: 0.3527 0.9665 0.6469  1 Ti 2.45
Cl: 0.3862 0.0335 0.1469  1 Ti 2.45
Cl: 0.3862 0.3527 0.3531  1 Ti 2.45
Cl: 0.6138 0.6473 0.6469  1 Ti 2.45
Cl: 0.6138 0.9665 0.8531  1 Ti 2.45
Cl: 0.6473 0.0335 0.3531  1 Ti 2.45
Cl: 0.6473 0.6138 0.1469  1 Ti 2.45
Cl: 0.9665 0.3527 0.1469  1 Ti 2.45
Cl: 0.9665 0.6138 0.3531  1 Ti 2.45

---

Entry 3:
A relaxed structure of CePmPr2Tl4. Source: Alexandria via LeMat-Bulk, functional PBE.

Summary:
**DFT formation energy**: -0.34 eV/atom
**Electronic total energy**: -32.418 eV/cell
**SG**: R-3m, No. 166

Cell: 9.6004 9.6004 9.6004 Å, 33.51 33.51 33.51°
Last column: nearest neighbours and their distance in Å.
Element x y z (fractional)
Ce: 0.0000 0.0000 0.0000  8 Tl 3.39-3.40
Pm: 0.5000 0.5000 0.5000  8 Tl 3.39
Pr: 0.2496 0.2496 0.2496  8 Tl 3.38-3.41
Pr: 0.7504 0.7504 0.7504  8 Tl 3.38-3.41
Tl: 0.1252 0.1252 0.1252  4 Pr 3.38-3.39, 3 Pm 3.39, 1 Ce 3.40
Tl: 0.3751 0.3751 0.3751  1 Pm 3.39, 3 Ce 3.39, 4 Pr 3.39-3.41
Tl: 0.6249 0.6249 0.6249  1 Pm 3.39, 3 Ce 3.39, 4 Pr 3.39-3.41
Tl: 0.8748 0.8748 0.8748  4 Pr 3.38-3.39, 3 Pm 3.39, 1 Ce 3.40

---

Entry 4:
A relaxed structure of SrRuSe2. Source: Alexandria via LeMat-Bulk, functional PBE.

Summary:
**E above lowest polymorph**: 783.4 meV per atom
**Uncorrected formation energy**: -0.103 eV per atom
**Electronic total energy**: -18.338 eV/cell
**SG**: I-4m2, No. 119

Cell: 6.3893 6.3893 6.3893 Å, 142.94 142.94 53.42°
Last column: nearest neighbours and their distance in Å.
Element x y z (fractional)
Sr: 0.0000 0.0000 0.0000  4 Se 2.87
Ru: 0.2500 0.7500 0.5000  4 Se 2.87
Se: 0.5000 0.5000 0.0000  4 Sr 2.87
Se: 0.7500 0.2500 0.5000  4 Ru 2.87

---

Entry 5:
A relaxed structure of InCSCl2. Source: Alexandria via LeMat-Bulk, functional PBE.

Summary:
**E above lowest polymorph**: 464.1 meV per atom
**Uncorrected formation energy**: 1.178 eV per atom
**Electronic total energy**: -13.894 eV/cell
**SG**: P4/mmm, No. 123

Cell: 5.0405 5.0405 5.1928 Å, 90.00 90.00 90.00°
Last column: nearest neighbours and their distance in Å.
Element x y z (fractional)
In: 0.0000 0.0000 0.0000  4 Cl 2.52, 2 S 2.60
C: 0.5000 0.5000 0.5000  4 S 3.56, 8 Cl 3.62
S: 0.0000 0.0000 0.5000  2 In 2.60
Cl: 0.0000 0.5000 0.0000  2 In 2.52
Cl: 0.5000 0.0000 0.0000  2 In 2.52

---

Entry 6:
A relaxed structure of ZrPSeCl2. Source: Alexandria via LeMat-Bulk, functional PBE.

Summary:
**E above lowest polymorph**: 880.9 meV per atom
**Uncorrected formation energy**: 0.533 eV per atom
**Electronic total energy**: -18.469 eV/cell
**SG**: P4/mmm, No. 123

Cell: 4.7856 4.7856 5.1484 Å, 90.00 90.00 90.00°
Last column: nearest neighbours and their distance in Å.
Element x y z (fractional)
Zr: 0.0000 0.0000 0.0000  4 P 3.38, 8 Cl 3.51
P: 0.5000 0.5000 0.0000  2 Se 2.57
Se: 0.5000 0.5000 0.5000  4 Cl 2.39, 2 P 2.57
Cl: 0.0000 0.5000 0.5000  2 Se 2.39
Cl: 0.5000 0.0000 0.5000  2 Se 2.39

---

Entry 7:
A relaxed structure of Ac2HoZnO6. Source: Alexandria via LeMat-Bulk, functional PBE.

Summary:
**Uncorrected formation energy**: -2.755 eV per atom
**Electronic total energy**: -142.729 eV/cell
**SG**: P2_1/c, No. 14

Cell: 5.8831 6.0050 10.1848 Å, 90.00 124.55 90.00°
Last column: nearest neighbours and their distance in Å.
Element x y z (fractional)
Ac: 0.2356 0.0464 0.2486  6 O 2.51-2.78
Ac: 0.2356 0.4536 0.7486  6 O 2.51-2.78
Ac: 0.7644 0.5464 0.2514  6 O 2.51-2.78
Ac: 0.7644 0.9536 0.7514  6 O 2.51-2.78
Ho: 0.5000 0.0000 0.0000  6 O 2.22-2.23
Ho: 0.5000 0.5000 0.5000  6 O 2.22-2.23
Zn: 0.0000 0.0000 0.5000  6 O 2.11-2.14
Zn: 0.0000 0.5000 0.0000  6 O 2.11-2.14
O: 0.1487 0.2115 0.9486  1 Zn 2.14, 1 Ho 2.22
O: 0.1487 0.2885 0.4486  1 Zn 2.14, 1 Ho 2.22
O: 0.2347 0.7021 0.9489  1 Zn 2.11, 1 Ho 2.23
O: 0.2347 0.7979 0.4489  1 Zn 2.11, 1 Ho 2.23
O: 0.3386 0.0322 0.7436  1 Zn 2.13, 1 Ho 2.22
O: 0.3386 0.4678 0.2436  1 Zn 2.13, 1 Ho 2.22
O: 0.6614 0.5322 0.7564  1 Zn 2.13, 1 Ho 2.22
O: 0.6614 0.9678 0.2564  1 Zn 2.13, 1 Ho 2.22
O: 0.7653 0.2021 0.5511  1 Zn 2.11, 1 Ho 2.23
O: 0.7653 0.2979 0.0511  1 Zn 2.11, 1 Ho 2.23
O: 0.8513 0.7115 0.5514  1 Zn 2.14, 1 Ho 2.22
O: 0.8513 0.7885 0.0514  1 Zn 2.14, 1 Ho 2.22

---

Entry 8:
A relaxed structure of CdHg2Au. Source: Alexandria via LeMat-Bulk, functional PBE.

Summary:
**DFT formation energy**: 0.03 eV/atom
**E above lowest polymorph**: 35.9 meV per atom
**Electronic total energy**: -4.678 eV/cell
**SG**: R3m, No. 160

Cell: 8.9383 8.9383 8.9383 Å, 22.72 22.72 22.72°
Last column: nearest neighbours and their distance in Å.
Element x y z (fractional)
Cd: 0.0000 0.0000 0.0000  3 Au 2.84, 3 Hg 3.05
Hg: 0.2465 0.2465 0.2465  3 Cd 3.05, 3 Hg 3.09
Hg: 0.4907 0.4907 0.4907  3 Au 2.94, 3 Hg 3.09
Au: 0.7427 0.7427 0.7427  3 Cd 2.84, 3 Hg 2.94

---

Entry 9:
A relaxed structure of Li2Mg2InAg2. Source: Alexandria via LeMat-Bulk, functional PBE.

Summary:
**DFT formation energy**: -0.20 eV/atom
**Electronic total energy**: -16.834 eV/cell
**SG**: R-3m, No. 166

Cell: 7.3479 7.3479 7.3479 Å, 37.47 37.47 37.47°
Last column: nearest neighbours and their distance in Å.
Element x y z (fractional)
Li: 0.0657 0.0657 0.0657  1 Li 2.69, 3 Ag 2.83, 3 Mg 2.86
Li: 0.9343 0.9343 0.9343  1 Li 2.69, 3 Ag 2.83, 3 Mg 2.86
Mg: 0.2252 0.2252 0.2252  1 Ag 2.78, 3 Li 2.86, 3 In 2.98
Mg: 0.7748 0.7748 0.7748  1 Ag 2.78, 3 Li 2.86, 3 In 2.98
In: 0.5000 0.5000 0.5000  2 Ag 2.85, 6 Mg 2.98
Ag: 0.3610 0.3610 0.3610  1 Mg 2.78, 3 Li 2.83, 1 In 2.85, 3 Ag 2.95
Ag: 0.6390 0.6390 0.6390  1 Mg 2.78, 3 Li 2.83, 1 In 2.85, 3 Ag 2.95

---

Entry 10:
A relaxed structure of AcTmThSc. Source: Alexandria via LeMat-Bulk, functional PBE.

Summary:
**DFT formation energy**: 0.11 eV/atom
**Electronic total energy**: -21.881 eV/cell
**SG**: F-43m, No. 216

Cell: 5.6716 5.6716 5.6716 Å, 60.00 60.00 60.00°
Last column: nearest neighbours and their distance in Å.
Element x y z (fractional)
Ac: 0.0000 0.0000 0.0000  4 Tm 3.47, 4 Sc 3.47
Tm: 0.7500 0.7500 0.7500  4 Ac 3.47, 4 Th 3.47
Th: 0.5000 0.5000 0.5000  4 Tm 3.47, 4 Sc 3.47
Sc: 0.2500 0.2500 0.2500  4 Ac 3.47, 4 Th 3.47

---

Entry 11:
A relaxed structure of TcBrCl4. Source: Alexandria via LeMat-Bulk, functional PBE.

Summary:
**E above lowest polymorph**: 0.0 meV per atom
**Uncorrected formation energy**: -0.502 eV per atom
**Electronic total energy**: -22.436 eV/cell
**SG**: P1, No. 1

Cell: 6.4073 6.7321 6.7903 Å, 101.37 111.36 109.15°
Last column: nearest neighbours and their distance in Å.
Element x y z (fractional)
Tc: 0.0000 0.0000 0.0000  4 Cl 2.22-2.33, 1 Br 2.37
Br: 0.5616 0.8462 0.8515  1 Tc 2.37
Cl: 0.0447 0.2889 0.2844  1 Tc 2.31
Cl: 0.1856 0.2473 0.8745  1 Tc 2.22
Cl: 0.2115 0.8868 0.2554  1 Tc 2.22
Cl: 0.9536 0.7083 0.7122  1 Tc 2.33

---

Entry 12:
A relaxed structure of TaTi3C. Source: Alexandria via LeMat-Bulk, functional PBE.

Summary:
**DFT formation energy**: 2.27 eV/atom
**E above lowest polymorph**: 2566.5 meV per atom
**Electronic total energy**: -33.403 eV/cell
**SG**: Pm-3m, No. 221

Cell: 4.7585 4.7585 4.7585 Å, 90.00 90.00 90.00°
Last column: nearest neighbours and their distance in Å.
Element x y z (fractional)
Ta: 0.0000 0.0000 0.0000  6 Ti 2.38
Ti: 0.0000 0.0000 0.5000  2 Ta 2.38
Ti: 0.0000 0.5000 0.0000  2 Ta 2.38
Ti: 0.5000 0.0000 0.0000  2 Ta 2.38
C: 0.5000 0.5000 0.5000  12 Ti 3.36

---

What is the electronic total energy in the ninth record? -16.834 eV/cell

---

Number 10 is which compound? AcTmThSc